[1]
CsLiH3 | PBE-GGA | relaxed

## Properties
DFT total energy, eV/atom: -2.3613
Total magnetization, μB/atom: 0.20

```
data_CsLiH3
_cell_length_a 4.355
_cell_length_b 4.355
_cell_length_c 4.355
_cell_angle_alpha 90.00
_cell_angle_beta 90.00
_cell_angle_gamma 90.00
_symmetry_space_group_name_H-M 'P m -3 m'
_symmetry_Int_Tables_number 221
_symmetry_space_group_name_Hall '-P 4 2 3'
loop_
_atom_site_label
_atom_site_type_symbol
_atom_site_fract_x
_atom_site_fract_y
_atom_site_fract_z
Cs1 Cs 0.000 0.000 0.000
Li1 Li 0.500 0.500 0.500
H1 H 0.000 0.500 0.500
```


[2]
Ta4GaNi | PBE-GGA | relaxed

## Properties
Calculated formation energy, eV/atom: -0.239
Total magnetization, μB/atom: 0.00

```
data_Ta4GaNi
_cell_length_a 6.311
_cell_length_b 6.311
_cell_length_c 4.967
_cell_angle_alpha 90.00
_cell_angle_beta 90.00
_cell_angle_gamma 90.00
_symmetry_space_group_name_H-M 'P 4/m c c'
_symmetry_Int_Tables_number 124
_symmetry_space_group_name_Hall '-P 4 2c'
loop_
_atom_site_label
_atom_site_type_symbol
_atom_site_fract_x
_atom_site_fract_y
_atom_site_fract_z
Ta1 Ta 0.146 0.334 0.000
Ga1 Ga 0.500 0.500 0.250
Ni1 Ni 0.000 0.000 0.250
```


[3]
AcTb4Er5 | PBE-GGA | relaxed

## Properties
Calculated formation energy, eV/atom: 0.220
Total magnetization, μB/atom: 0.00

```
data_AcTb4Er5
_cell_length_a 17.163
_cell_length_b 3.574
_cell_length_c 11.058
_cell_angle_alpha 90.00
_cell_angle_beta 90.64
_cell_angle_gamma 90.00
_symmetry_space_group_name_H-M 'C 1 2/m 1'
_symmetry_Int_Tables_number 12
_symmetry_space_group_name_Hall '-C 2y'
loop_
_atom_site_label
_atom_site_type_symbol
_atom_site_fract_x
_atom_site_fract_y
_atom_site_fract_z
Ac1 Ac 0.000 0.000 0.000
Tb1 Tb 0.028 0.500 0.742
Tb2 Tb 0.153 0.000 0.250
Er1 Er 0.000 0.000 0.500
Er2 Er 0.173 0.500 0.547
Er3 Er 0.177 0.500 0.942
```


[4]
InGa3Ag7 | PBE-GGA | relaxed

## Properties
Calculated formation energy, eV/atom: 0.084
Total magnetization, μB/atom: 0.00

```
data_InGa3Ag7
_cell_length_a 8.895
_cell_length_b 9.550
_cell_length_c 5.666
_cell_angle_alpha 90.00
_cell_angle_beta 115.24
_cell_angle_gamma 90.00
_symmetry_space_group_name_H-M 'C 1 2/m 1'
_symmetry_Int_Tables_number 12
_symmetry_space_group_name_Hall '-C 2y'
loop_
_atom_site_label
_atom_site_type_symbol
_atom_site_fract_x
_atom_site_fract_y
_atom_site_fract_z
In1 In 0.000 0.000 0.000
Ga1 Ga 0.000 0.277 0.500
Ga2 Ga 0.000 0.500 0.000
Ag1 Ag 0.000 0.000 0.500
Ag2 Ag 0.181 0.268 0.186
Ag3 Ag 0.190 0.500 0.538
```


Result set for density of states at the Fermi level: 1.6 6.0 26.9 6.4 states/eV per cell, one per record in the order listed.